#A
Compound: ScMnBr2
Source: the Alexandria database
Functional: PBE
Structure: relaxed

a b c (Å): 10.2109 3.4370 7.2904
angles (deg): 90.00 120.23 90.00
Last column: nearest neighbours and their distance in Å.
Space group Cm (No. 8)
Asymmetric unit:
Sc  0.0000  0.0000  0.0000  5 Br 2.76-2.98, 2 Mn 2.89
Mn  0.2864  0.0000  0.6624  4 Br 2.89-3.22, 2 Sc 2.89
Br  0.0609  0.5000  0.3400  2 Sc 2.82, 2 Mn 2.89
Br  0.1918  0.5000  0.9504  3 Sc 2.76-2.98

Values from the calculation:
Density = 3.90 Mg/m³

#B
Compound: ScMnBr2
Source: the Alexandria database
Functional: PBE
Structure: relaxed

a b c (Å): 3.6044 3.4843 8.6915
angles (deg): 90.00 101.84 90.00
Last column: nearest neighbours and their distance in Å.
Space group Pm (No. 6)
Asymmetric unit:
Sc  0.0000  0.0000  0.0000  3 Br 2.64-2.93
Mn  0.5977  0.5000  0.1970  4 Br 2.80, 4 Sc 3.01-3.02
Br  0.1704  0.0000  0.3445  4 Mn 2.80, 1 Sc 2.93
Br  0.8856  0.5000  0.7662  2 Sc 2.64

Values from the calculation:
Density = 4.04 Mg/m³

#C
Compound: ScMnBr2
Source: the Alexandria database
Functional: PBE
Structure: relaxed

a b c (Å): 14.6919 3.6577 4.1868
angles (deg): 90.00 95.05 90.00
Last column: nearest neighbours and their distance in Å.
Space group C2/m (No. 12)
Asymmetric unit:
Sc  0.0000  0.0000  0.0000  4 Mn 2.78, 4 Br 2.79
Mn  0.0000  0.5000  0.5000  2 Br 2.43
Br  0.1358  0.5000  0.2085  1 Mn 2.43

Values from the calculation:
Density = 3.85 Mg/m³

#D
Compound: ScMnBr2
Source: the Alexandria database
Functional: PBE
Structure: relaxed

a b c (Å): 3.4647 3.4647 6.7131
angles (deg): 90.00 90.00 90.00
Last column: nearest neighbours and their distance in Å.
Space group P4/mmm (No. 123)
Asymmetric unit:
Sc  0.0000  0.0000  0.0000  8 Br 2.93
Mn  0.0000  0.0000  0.5000  8 Br 3.02, 2 Sc 3.36
Br  0.5000  0.5000  0.2380  4 Sc 2.93, 4 Mn 3.02, 1 Br 3.20

Values from the calculation:
Density = 5.35 Mg/m³

#B comes first in stability; the runner-up is 12.3 kJ/mol of atoms higher.

#A
Compound: Sc2MnBr
Source: the Alexandria database
Functional: PBE
Structure: relaxed

a b c (Å): 3.7559 3.7559 6.0414
angles (deg): 90.00 90.00 90.00
Last column: nearest neighbours and their distance in Å.
Space group P4mm (No. 99)
Asymmetric unit:
Sc  0.0000  0.0000  0.0000  4 Mn 2.75, 1 Br 2.97
Sc  0.5000  0.5000  0.3412  1 Mn 2.76, 4 Br 2.81
Mn  0.5000  0.5000  0.8848  5 Sc 2.75-2.76
Br  0.0000  0.0000  0.4908  6 Sc 2.81-3.08

Values from the calculation:
Density = 4.38 Mg/m³

#B
Compound: Sc2MnBr
Source: the Alexandria database
Functional: PBE
Structure: relaxed

a b c (Å): 6.9576 6.9576 6.9576
angles (deg): 90.00 90.00 90.00
Last column: nearest neighbours and their distance in Å.
Space group F-43m (No. 216)
Asymmetric unit:
Sc  0.0000  0.0000  0.0000  4 Mn 3.01, 4 Sc 3.01
Sc  0.2500  0.2500  0.2500  4 Br 3.01, 4 Sc 3.01
Mn  0.2500  0.2500  0.7500  4 Br 3.01, 4 Sc 3.01
Br  0.0000  0.0000  0.5000  4 Mn 3.01, 4 Sc 3.01

Values from the calculation:
Density = 4.43 Mg/m³

#C
Compound: Sc2MnBr
Source: the Alexandria database
Functional: PBE
Structure: relaxed

a b c (Å): 4.6228 4.6310 8.8293
angles (deg): 90.00 90.00 90.00
Last column: nearest neighbours and their distance in Å.
Space group Cmm2 (No. 35)
Asymmetric unit:
Sc  0.0000  0.0000  0.0000  4 Mn 2.90
Sc  0.0000  0.5000  0.2714  4 Br 2.88-2.89
Mn  0.0000  0.5000  0.8017  4 Sc 2.90
Br  0.0000  0.0000  0.4664  4 Sc 2.88-2.89

Values from the calculation:
Density = 3.95 Mg/m³

#C comes first in stability; the runner-up is 5.6 kJ/mol of atoms higher.

#A
Compound: ScMnBr6
Source: the Alexandria database
Functional: PBE
Structure: relaxed

a b c (Å): 6.6049 12.6018 6.6069
angles (deg): 90.00 109.88 90.00
Last column: nearest neighbours and their distance in Å.
Space group C2/m (No. 12)
Asymmetric unit:
Sc  0.0000  0.0000  0.0000  6 Br 2.57-2.72
Mn  0.0000  0.5000  0.5000  4 Br 2.47
Br  0.2262  0.3600  0.7275  1 Mn 2.47, 1 Sc 2.72
Br  0.2370  0.0000  0.7614  1 Sc 2.57, 1 Mn 2.84

Values from the calculation:
Density = 3.72 Mg/m³

#B
Compound: ScMnBr6
Source: the Alexandria database
Functional: PBE
Structure: relaxed

a b c (Å): 6.6303 6.6303 17.8621
angles (deg): 90.00 90.00 120.00
Last column: nearest neighbours and their distance in Å.
Space group R-3 (No. 148, hexagonal axes)
Asymmetric unit:
Sc  0.0000  0.0000  0.0000  6 Br 2.67
Mn  0.0000  0.0000  0.5000  6 Br 2.58
Br  0.0082  0.6558  0.2488  1 Mn 2.58, 1 Sc 2.67

Values from the calculation:
Density = 4.24 Mg/m³

#A comes first in stability; the runner-up is 5.1 kJ/mol of atoms higher.

#A
Compound: ScMn3Br
Source: the Alexandria database
Functional: PBE
Structure: relaxed

a b c (Å): 4.5071 4.5071 4.5071
angles (deg): 90.00 90.00 90.00
Last column: nearest neighbours and their distance in Å.
Space group Pm-3m (No. 221)
Asymmetric unit:
Sc  0.0000  0.0000  0.0000  12 Mn 3.19
Mn  0.0000  0.5000  0.5000  2 Br 2.25
Br  0.5000  0.5000  0.5000  6 Mn 2.25

Values from the calculation:
Density = 5.25 Mg/m³

#B
Compound: ScMn3Br
Source: the Alexandria database
Functional: PBE
Structure: relaxed

a b c (Å): 4.9353 4.9353 4.9353
angles (deg): 90.00 90.00 90.00
Last column: nearest neighbours and their distance in Å.
Space group Pm-3m (No. 221)
Asymmetric unit:
Sc  0.0000  0.0000  0.0000  6 Mn 2.47
Mn  0.0000  0.0000  0.5000  2 Sc 2.47
Br  0.5000  0.5000  0.5000  12 Mn 3.49

Values from the calculation:
Density = 4.00 Mg/m³

#A comes first in stability; the runner-up is 53.8 kJ/mol of atoms higher.

#A
Compound: ScMnSe2Br
Source: the Alexandria database
Functional: PBE
Structure: relaxed

a b c (Å): 5.2063 5.2063 5.1196
angles (deg): 90.00 90.00 90.00
Last column: nearest neighbours and their distance in Å.
Space group P4/mmm (No. 123)
Asymmetric unit:
Sc  0.0000  0.0000  0.0000  2 Br 2.56, 4 Se 2.60
Mn  0.5000  0.5000  0.5000  8 Se 3.65, 4 Br 3.68
Se  0.0000  0.5000  0.0000  2 Sc 2.60
Br  0.0000  0.0000  0.5000  2 Sc 2.56

Values from the calculation:
Density = 4.04 Mg/m³

#B
Compound: ScMnSe2Br
Source: the Alexandria database
Functional: PBE
Structure: relaxed

a b c (Å): 4.9631 4.9631 4.8493
angles (deg): 90.00 90.00 90.00
Last column: nearest neighbours and their distance in Å.
Space group P4/mmm (No. 123)
Asymmetric unit:
Sc  0.0000  0.0000  0.0000  8 Se 3.47, 4 Br 3.51
Mn  0.5000  0.5000  0.5000  2 Br 2.42, 4 Se 2.48
Se  0.0000  0.5000  0.5000  2 Mn 2.48
Br  0.5000  0.5000  0.0000  2 Mn 2.42

Values from the calculation:
Density = 4.69 Mg/m³

#A comes first in stability; the runner-up is 8.1 kJ/mol of atoms higher.

#A
Compound: MnSeBr2
Source: the Alexandria database
Functional: PBE
Structure: relaxed

a b c (Å): 3.1793 3.1793 10.7432
angles (deg): 90.00 90.00 90.00
Last column: nearest neighbours and their distance in Å.
Space group P4mm (No. 99)
Asymmetric unit:
Mn  0.0000  0.0000  0.0000  4 Se 2.68, 4 Br 2.88
Se  0.5000  0.5000  0.1362  4 Mn 2.68
Br  0.0000  0.0000  0.4766  4 Br 3.18
Br  0.5000  0.5000  0.8318  4 Mn 2.88, 4 Br 3.18

Values from the calculation:
Density = 4.49 Mg/m³

#B
Compound: MnSeBr2
Source: the Alexandria database
Functional: PBE
Structure: relaxed

a b c (Å): 6.5663 8.4249 4.9711
angles (deg): 90.00 131.04 90.00
Last column: nearest neighbours and their distance in Å.
Space group C2/m (No. 12)
Asymmetric unit:
Mn  0.0000  0.0000  0.0000  4 Br 2.82
Se  0.0000  0.5000  0.0000  4 Br 2.82
Br  0.2500  0.2500  0.5000  2 Mn 2.82, 2 Se 2.82

Values from the calculation:
Density = 4.70 Mg/m³

#C
Compound: MnSeBr2
Source: the Alexandria database
Functional: PBE
Structure: relaxed

a b c (Å): 3.3448 7.6257 9.6478
angles (deg): 90.00 90.00 90.00
Last column: nearest neighbours and their distance in Å.
Space group Cmm2 (No. 35)
Asymmetric unit:
Mn  0.0000  0.0000  0.0000  2 Se 2.38, 2 Br 2.48
Se  0.0000  0.5000  0.8246  2 Mn 2.38
Br  0.0000  0.0000  0.5527  2 Se 3.11, 2 Br 3.34
Br  0.0000  0.5000  0.1891  2 Mn 2.48

Values from the calculation:
Density = 3.96 Mg/m³

#D
Compound: MnSeBr2
Source: the Alexandria database
Functional: PBE
Structure: relaxed

a b c (Å): 4.7833 4.7833 4.1074
angles (deg): 90.00 90.00 90.00
Last column: nearest neighbours and their distance in Å.
Space group P4/mmm (No. 123)
Asymmetric unit:
Mn  0.0000  0.0000  0.0000  8 Br 3.15, 4 Se 3.38
Se  0.5000  0.5000  0.0000  8 Br 3.15, 4 Mn 3.38
Br  0.0000  0.5000  0.5000  4 Mn 3.15, 4 Se 3.15, 4 Br 3.38

Values from the calculation:
Density = 5.19 Mg/m³

#C comes first in stability; the runner-up is 12.2 kJ/mol of atoms higher.

#A
Compound: MnSiSeBr2
Source: the Alexandria database
Functional: PBE
Structure: relaxed

a b c (Å): 5.0316 5.0316 5.1014
angles (deg): 90.00 90.00 90.00
Last column: nearest neighbours and their distance in Å.
Space group P4/mmm (No. 123)
Asymmetric unit:
Mn  0.0000  0.0000  0.0000  4 Br 2.52, 2 Se 2.55
Si  0.5000  0.5000  0.5000  4 Se 3.56, 8 Br 3.58
Se  0.0000  0.0000  0.5000  2 Mn 2.55
Br  0.0000  0.5000  0.0000  2 Mn 2.52

Values from the calculation:
Density = 4.14 Mg/m³

#B
Compound: MnSiSeBr2
Source: the Alexandria database
Functional: PBE
Structure: relaxed

a b c (Å): 5.0919 5.0919 5.0393
angles (deg): 90.00 90.00 90.00
Last column: nearest neighbours and their distance in Å.
Space group P4/mmm (No. 123)
Asymmetric unit:
Mn  0.0000  0.0000  0.0000  8 Br 3.58, 4 Se 3.60
Si  0.5000  0.5000  0.5000  2 Se 2.52, 4 Br 2.55
Se  0.5000  0.5000  0.0000  2 Si 2.52
Br  0.0000  0.5000  0.5000  2 Si 2.55

Values from the calculation:
Density = 4.09 Mg/m³

#A comes first in stability; the runner-up is 3.0 kJ/mol of atoms higher.

#A
Compound: MnTeSe2Br
Source: the Alexandria database
Functional: PBE
Structure: relaxed

a b c (Å): 4.5237 4.5237 5.7772
angles (deg): 90.00 90.00 90.00
Last column: nearest neighbours and their distance in Å.
Space group P4/mmm (No. 123)
Asymmetric unit:
Mn  0.0000  0.0000  0.0000  4 Se 2.26
Te  0.0000  0.0000  0.5000  2 Mn 2.89, 4 Br 3.20
Se  0.0000  0.5000  0.0000  2 Mn 2.26
Br  0.5000  0.5000  0.5000  4 Te 3.20

Values from the calculation:
Density = 5.90 Mg/m³

#B
Compound: MnTeSe2Br
Source: the Alexandria database
Functional: PBE
Structure: relaxed

a b c (Å): 4.7418 4.7418 4.8997
angles (deg): 90.00 90.00 90.00
Last column: nearest neighbours and their distance in Å.
Space group P4/mmm (No. 123)
Asymmetric unit:
Mn  0.0000  0.0000  0.0000  4 Se 2.37, 2 Br 2.45
Te  0.5000  0.5000  0.5000  4 Br 3.35, 8 Se 3.41
Se  0.0000  0.5000  0.0000  2 Mn 2.37
Br  0.0000  0.0000  0.5000  2 Mn 2.45

Values from the calculation:
Density = 6.34 Mg/m³

#A comes first in stability; the runner-up is 6.0 kJ/mol of atoms higher.

#A
Compound: MnVSeBr2
Source: the Alexandria database
Functional: PBE
Structure: relaxed

a b c (Å): 4.9817 4.9817 4.5935
angles (deg): 90.00 90.00 90.00
Last column: nearest neighbours and their distance in Å.
Space group P4/mmm (No. 123)
Asymmetric unit:
Mn  0.0000  0.0000  0.0000  2 Se 2.30, 4 Br 2.49
V  0.5000  0.5000  0.5000  8 Br 3.39, 4 Se 3.52
Se  0.0000  0.0000  0.5000  2 Mn 2.30
Br  0.0000  0.5000  0.0000  2 Mn 2.49

Values from the calculation:
Density = 5.02 Mg/m³

#B
Compound: MnVSeBr2
Source: the Alexandria database
Functional: PBE
Structure: relaxed

a b c (Å): 5.1322 5.1322 4.9346
angles (deg): 90.00 90.00 90.00
Last column: nearest neighbours and their distance in Å.
Space group P4/mmm (No. 123)
Asymmetric unit:
Mn  0.0000  0.0000  0.0000  8 Br 3.56, 4 Se 3.63
V  0.5000  0.5000  0.5000  2 Se 2.47, 4 Br 2.57
Se  0.5000  0.5000  0.0000  2 V 2.47
Br  0.0000  0.5000  0.5000  2 V 2.57

Values from the calculation:
Density = 4.40 Mg/m³

#B comes first in stability; the runner-up is 72.8 kJ/mol of atoms higher.

#A
Compound: YMnSeBr2
Source: the Alexandria database
Functional: PBE
Structure: relaxed

a b c (Å): 5.0190 5.0190 5.1947
angles (deg): 90.00 90.00 90.00
Last column: nearest neighbours and their distance in Å.
Space group P4/mmm (No. 123)
Asymmetric unit:
Y  0.0000  0.0000  0.0000  4 Se 3.55, 8 Br 3.61
Mn  0.5000  0.5000  0.5000  4 Br 2.51, 2 Se 2.60
Se  0.5000  0.5000  0.0000  2 Mn 2.60
Br  0.0000  0.5000  0.5000  2 Mn 2.51

Values from the calculation:
Density = 4.86 Mg/m³

#B
Compound: YMnSeBr2
Source: the Alexandria database
Functional: PBE
Structure: relaxed

a b c (Å): 5.5835 5.5835 5.5165
angles (deg): 90.00 90.00 90.00
Last column: nearest neighbours and their distance in Å.
Space group P4/mmm (No. 123)
Asymmetric unit:
Y  0.0000  0.0000  0.0000  2 Se 2.76, 4 Br 2.79
Mn  0.5000  0.5000  0.5000  8 Br 3.92, 4 Se 3.95
Se  0.0000  0.0000  0.5000  2 Y 2.76
Br  0.0000  0.5000  0.0000  2 Y 2.79

Values from the calculation:
Density = 3.69 Mg/m³

#B comes first in stability; the runner-up is 13.5 kJ/mol of atoms higher.

#A
Compound: Mn2SiBr
Source: the Alexandria database
Functional: PBE
Structure: relaxed

a b c (Å): 6.7900 6.8202 3.0235
angles (deg): 90.00 102.13 90.00
Last column: nearest neighbours and their distance in Å.
Space group C2/m (No. 12)
Asymmetric unit:
Mn  0.2500  0.2500  0.0000  2 Br 2.64, 2 Si 2.64
Si  0.0000  0.0000  0.5000  4 Mn 2.64
Br  0.0000  0.5000  0.5000  4 Mn 2.64

Values from the calculation:
Density = 5.29 Mg/m³

#B
Compound: Mn2SiBr
Source: the Alexandria database
Functional: PBE
Structure: relaxed

a b c (Å): 3.6549 3.7522 5.3314
angles (deg): 90.00 90.00 90.00
Last column: nearest neighbours and their distance in Å.
Space group Pmmm (No. 47)
Asymmetric unit:
Mn  0.0000  0.0000  0.0000  4 Br 2.62, 2 Si 2.67
Mn  0.5000  0.5000  0.5000  4 Si 2.62, 2 Br 2.67
Si  0.0000  0.0000  0.5000  6 Mn 2.62-2.67
Br  0.5000  0.5000  0.0000  6 Mn 2.62-2.67

Values from the calculation:
Density = 4.95 Mg/m³

#C
Compound: Mn2SiBr
Source: the Alexandria database
Functional: PBE
Structure: relaxed

a b c (Å): 6.2099 6.2099 6.2099
angles (deg): 90.00 90.00 90.00
Last column: nearest neighbours and their distance in Å.
Space group F-43m (No. 216)
Asymmetric unit:
Mn  0.0000  0.0000  0.0000  4 Mn 2.69, 4 Si 2.69
Mn  0.2500  0.2500  0.2500  4 Br 2.69, 4 Mn 2.69
Si  0.2500  0.2500  0.7500  4 Mn 2.69, 4 Br 2.69
Br  0.0000  0.0000  0.5000  4 Mn 2.69, 4 Si 2.69

Values from the calculation:
Density = 6.04 Mg/m³

#D
Compound: Mn2SiBr
Source: the Alexandria database
Functional: PBE
Structure: relaxed

a b c (Å): 6.4202 3.7054 6.3817
angles (deg): 90.00 109.43 90.00
Last column: nearest neighbours and their distance in Å.
Space group C2/m (No. 12)
Asymmetric unit:
Mn  0.2222  0.0000  0.1677  3 Si 2.37
Si  0.0000  0.5000  0.0000  6 Mn 2.37
Br  0.0000  0.0000  0.5000  6 Mn 2.92-2.93

Values from the calculation:
Density = 5.05 Mg/m³

#D comes first in stability; the runner-up is 22.3 kJ/mol of atoms higher.